This record from the Alexandria database describes a relaxed Tm2AlCr2Ru5 crystal. The functional is GGA-PBE.

## Properties
Mass density (g/cm³): 10.11
SG: P4/mbm (127)
Energy of formation (meV/atom): -189.7
Density of states at the Fermi level (states/eV/f.u.): 6.48
Volume (Å³/cell): 320.1
Raw total energy (eV/cell): -160.4

Unit cell a=3.148 b=10.084 c=10.084 alpha=90.00 beta=90.00 gamma=90.00
Fractional positions:
Ru 0.500 0.202 0.064
Ru 0.500 0.702 0.436
Ru 0.500 0.436 0.298
Ru 0.500 0.564 0.702
Ru 0.500 0.000 0.500
Ru 0.500 0.298 0.564
Ru 0.500 0.936 0.202
Ru 0.500 0.798 0.936
Ru 0.500 0.064 0.798
Ru 0.500 0.500 0.000
Cr 0.000 0.867 0.367
Cr 0.000 0.633 0.867
Cr 0.000 0.133 0.633
Cr 0.000 0.367 0.133
Al 0.000 0.500 0.500
Al 0.000 0.000 0.000
Tm 0.000 0.672 0.172
Tm 0.000 0.828 0.672
Tm 0.000 0.328 0.828
Tm 0.000 0.172 0.328